This record from Alexandria describes crystalline Pr3Sm8Tl4 at its relaxed geometry. The functional is GGA-PBE.

Results
SG   C2/m, No. 12

Structure (POSCAR):
```
Pr3Sm8Tl4
1.0
6.783 -6.295 0.000
6.783 6.295 0.000
-3.215 0.000 5.892
Pr Sm Tl
3 8 4
Direct
0.000 0.000 0.000
0.000 0.500 0.500
0.500 0.000 0.500
0.248 0.248 0.872
0.254 0.746 0.500
0.261 0.739 0.000
0.356 0.356 0.463
0.644 0.644 0.537
0.739 0.261 0.000
0.746 0.254 0.500
0.752 0.752 0.128
0.000 0.000 0.500
0.000 0.500 0.000
0.500 0.000 0.000
0.500 0.500 0.000
```

***

This record from Alexandria describes crystalline Pr5SmTl5 at its relaxed geometry. The functional is GGA-PBE.

Results
SG   C2/m, No. 12

Structure (POSCAR):
```
Pr5SmTl5
1.0
8.808 -2.988 0.000
8.808 2.988 0.000
-0.008 0.000 6.890
Pr Sm Tl
5 1 5
Direct
0.000 0.000 0.000
0.322 0.322 0.501
0.340 0.340 0.001
0.660 0.660 0.999
0.678 0.678 0.499
0.000 0.000 0.500
0.162 0.162 0.242
0.162 0.162 0.758
0.500 0.500 0.500
0.838 0.838 0.242
0.838 0.838 0.758
```

***

This record from Alexandria describes crystalline Pr3Sm8Tl at its relaxed geometry. The functional is GGA-PBE.

Results
SG   I-42m, No. 121

Structure (POSCAR):
```
Pr3Sm8Tl
1.0
-4.385 4.385 5.752
4.385 -4.385 5.752
4.385 4.385 -5.752
Pr Sm Tl
3 8 1
Direct
0.000 0.000 0.000
0.250 0.750 0.500
0.750 0.250 0.500
0.121 0.121 0.748
0.234 0.234 0.495
0.261 0.766 0.000
0.374 0.374 0.252
0.626 0.879 0.000
0.739 0.739 0.505
0.766 0.261 0.000
0.879 0.626 0.000
0.500 0.500 0.000
```

***

This record from Alexandria describes crystalline Pr6SmTl at its relaxed geometry. The functional is GGA-PBE.

Results
SG   P4/mmm, No. 123
Offset from the most stable computed form   0.0000 eV/atom

Structure (POSCAR):
```
Pr6SmTl
1.0
5.078 0.000 0.000
0.000 5.078 0.000
0.000 0.000 10.498
Pr Sm Tl
6 1 1
Direct
0.000 0.000 0.000
0.000 0.000 0.500
0.000 0.500 0.243
0.000 0.500 0.757
0.500 0.000 0.243
0.500 0.000 0.757
0.500 0.500 0.500
0.500 0.500 0.000
```

***

no.,calculated formation energy (eV per atom)
1,0.06
2,-0.16
3,0.45
4,-0.09